# 1
The following is a PBE calculation of NdGaGeIr2 after structural relaxation, from OQMD via LeMat-Bulk.

- total DFT energy (no corrections) (eV per cell) = -68.0
- V (Å³/atom) = 18.7
- magnetization (μB/cell) = 0.0

a = 4.2230 Å, b = 4.2230 Å, c = 10.4850 Å
α = 90.00°, β = 90.00°, γ = 90.00°
Fractional coordinates of all 10 atoms:
1 Nd 0.2500 0.2500 0.2497
2 Nd 0.7500 0.7500 0.7503
3 Ga 0.2500 0.7500 0.0000
4 Ga 0.7500 0.2500 0.0000
5 Ge 0.2500 0.2500 0.6289
6 Ge 0.7500 0.7500 0.3711
7 Ir 0.2500 0.2500 0.8636
8 Ir 0.2500 0.7500 0.5000
9 Ir 0.7500 0.2500 0.5000
10 Ir 0.7500 0.7500 0.1364


# 2
The following is a PBE calculation of HoPbAuS3 after structural relaxation, from OQMD via LeMat-Bulk.

- total DFT energy (no corrections) (eV per cell) = -59.5
- energy above the lowest structure with this stoichiometry (eV/atom) = 0.024
- V (Å³/atom) = 22.8
- magnetization (μB/cell) = 0.0

a = 6.8977 Å, b = 6.8977 Å, c = 10.3944 Å
α = 90.00°, β = 90.00°, γ = 146.39°
Fractional coordinates of all 12 atoms:
1 Ho 0.0000 0.0000 0.0000
2 Ho 0.0000 0.0000 0.5000
3 Pb 0.2476 0.7524 0.7500
4 Pb 0.7524 0.2476 0.2500
5 Au 0.4539 0.5461 0.2500
6 Au 0.5461 0.4539 0.7500
7 S 0.0866 0.9134 0.2500
8 S 0.3598 0.6402 0.0471
9 S 0.3598 0.6402 0.4529
10 S 0.6402 0.3598 0.5471
11 S 0.6402 0.3598 0.9529
12 S 0.9134 0.0866 0.7500


# 3
The following is a PBE calculation of KHoErC after structural relaxation, from OQMD via LeMat-Bulk.

- total DFT energy (no corrections) (eV per cell) = -39.4
- V (Å³/atom) = 28.7
- magnetization (μB/cell) = 0.1

a = 3.5975 Å, b = 3.5975 Å, c = 20.5163 Å
α = 90.00°, β = 90.00°, γ = 120.00°
Fractional coordinates of all 8 atoms:
1 K 0.3333 0.6667 0.2505
2 K 0.6667 0.3333 0.7495
3 Ho 0.3333 0.6667 0.9354
4 Ho 0.6667 0.3333 0.0646
5 Er 0.3333 0.6667 0.5641
6 Er 0.6667 0.3333 0.4359
7 C 0.0000 0.0000 0.0000
8 C 0.0000 0.0000 0.5000


# 4
The following is a PBE calculation of AgBr after structural relaxation, from OQMD via LeMat-Bulk.

- total DFT energy (no corrections) (eV per cell) = -10.1
- V (Å³/atom) = 27.1

a = 4.5364 Å, b = 4.5364 Å, c = 6.0780 Å
α = 90.00°, β = 90.00°, γ = 120.00°
Fractional coordinates of all 4 atoms:
1 Ag 0.0000 0.0000 0.2500
2 Ag 0.0000 0.0000 0.7500
3 Br 0.3333 0.6667 0.2500
4 Br 0.6667 0.3333 0.7500


# 5
The following is a PBE calculation of NaSrNiAs after structural relaxation, from OQMD via LeMat-Bulk.

- total DFT energy (no corrections) (eV per cell) = -13.7
- energy above the lowest structure with this stoichiometry (eV/atom) = 0.054
- V (Å³/atom) = 20.5
- magnetization (μB/cell) = 0.0

a = 4.8793 Å, b = 4.8793 Å, c = 4.8793 Å
α = 60.00°, β = 60.00°, γ = 60.00°
Fractional coordinates of all 4 atoms:
1 Na 0.0000 0.0000 0.0000
2 Sr 0.7500 0.7500 0.7500
3 Ni 0.2500 0.2500 0.2500
4 As 0.5000 0.5000 0.5000


# 6
The following is a PBE calculation of Nd2Be2SiO7 after structural relaxation, from OQMD via LeMat-Bulk.

- total DFT energy (no corrections) (eV per cell) = -189.0
- V (Å³/atom) = 11.2
- magnetization (μB/cell) = 0.0

a = 7.4538 Å, b = 7.4538 Å, c = 4.8577 Å
α = 90.00°, β = 90.00°, γ = 90.00°
Fractional coordinates of all 24 atoms:
1 Nd 0.1602 0.3398 0.0056
2 Nd 0.3398 0.8398 0.9944
3 Nd 0.6602 0.1602 0.9944
4 Nd 0.8398 0.6602 0.0056
5 Be 0.1358 0.6358 0.5364
6 Be 0.3642 0.1358 0.4636
7 Be 0.6358 0.8642 0.4636
8 Be 0.8642 0.3642 0.5364
9 Si 0.0000 0.0000 0.5000
10 Si 0.5000 0.5000 0.5000
11 O 0.0000 0.5000 0.6685
12 O 0.0773 0.8354 0.6921
13 O 0.1409 0.6409 0.2114
14 O 0.1646 0.0773 0.3079
15 O 0.3354 0.5773 0.6921
16 O 0.3591 0.1409 0.7886
17 O 0.4227 0.3354 0.3079
18 O 0.5000 0.0000 0.3315
19 O 0.5773 0.6646 0.3079
20 O 0.6409 0.8591 0.7886
21 O 0.6646 0.4227 0.6921
22 O 0.8354 0.9227 0.3079
23 O 0.8591 0.3591 0.2114
24 O 0.9227 0.1646 0.6921


# 7
The following is a PBE calculation of HfAlBi2 after structural relaxation, from OQMD via LeMat-Bulk.

- total DFT energy (no corrections) (eV per cell) = -20.2
- V (Å³/atom) = 25.3
- magnetization (μB/cell) = 0.5

a = 5.2315 Å, b = 5.2315 Å, c = 5.2315 Å
α = 60.00°, β = 60.00°, γ = 60.00°
Fractional coordinates of all 4 atoms:
1 Hf 0.0000 0.0000 0.0000
2 Al 0.7500 0.7500 0.7500
3 Bi 0.2500 0.2500 0.2500
4 Bi 0.5000 0.5000 0.5000


# 8
The following is a PBE calculation of AlInNi after structural relaxation, from OQMD via LeMat-Bulk.

- total DFT energy (no corrections) (eV per cell) = -11.2
- V (Å³/atom) = 19.2
- magnetization (μB/cell) = 0.0

a = 4.3338 Å, b = 4.3338 Å, c = 4.3338 Å
α = 60.00°, β = 60.00°, γ = 60.00°
Fractional coordinates of all 3 atoms:
1 Al 0.0000 0.0000 0.0000
2 In 0.2500 0.2500 0.2500
3 Ni 0.5000 0.5000 0.5000


# 9
The following is a PBE calculation of Sr2Pt after structural relaxation, from OQMD via LeMat-Bulk.

- total DFT energy (no corrections) (eV per cell) = -22.6
- V (Å³/atom) = 38.4
- magnetization (μB/cell) = 0.0

a = 4.4106 Å, b = 4.4106 Å, c = 13.6719 Å
α = 90.00°, β = 90.00°, γ = 120.00°
Fractional coordinates of all 6 atoms:
1 Sr 0.0000 0.0000 0.0000
2 Sr 0.0000 0.0000 0.5000
3 Sr 0.3333 0.6667 0.2345
4 Sr 0.6667 0.3333 0.7345
5 Pt 0.3333 0.6667 0.6167
6 Pt 0.6667 0.3333 0.1167


# 10
The following is a PBE calculation of Lu2Zr4Ga3C3 after structural relaxation, from OQMD via LeMat-Bulk.

- total DFT energy (no corrections) (eV per cell) = -176.3
- V (Å³/atom) = 17.7
- magnetization (μB/cell) = 0.0

a = 5.8269 Å, b = 5.8269 Å, c = 14.8364 Å
α = 101.55°, β = 101.55°, γ = 60.00°
Fractional coordinates of all 24 atoms:
1 Lu 0.0352 0.8712 0.6033
2 Lu 0.1288 0.9648 0.8967
3 Lu 0.8712 0.0352 0.1033
4 Lu 0.9648 0.1288 0.3967
5 Zr 0.1945 0.3582 0.0845
6 Zr 0.3005 0.4763 0.4155
7 Zr 0.3582 0.1945 0.5845
8 Zr 0.4763 0.3005 0.9155
9 Zr 0.5237 0.6995 0.0845
10 Zr 0.6418 0.8055 0.4155
11 Zr 0.6995 0.5237 0.5845
12 Zr 0.8055 0.6418 0.9155
13 Ga 0.0849 0.3678 0.7506
14 Ga 0.3678 0.0849 0.2506
15 Ga 0.4591 0.5409 0.2500
16 Ga 0.5409 0.4591 0.7500
17 Ga 0.6322 0.9151 0.7494
18 Ga 0.9151 0.6322 0.2494
19 C 0.0000 0.5000 0.5000
20 C 0.1684 0.6630 0.9998
21 C 0.3370 0.8316 0.5002
22 C 0.5000 0.0000 0.0000
23 C 0.6630 0.1684 0.4998
24 C 0.8316 0.3370 0.0002